[1]
# AlCrOs2

An optimized crystal structure of AlCrOs2 (PBE, Alexandria via LeMat-Bulk).

abc: 2.706 2.706 8.396
angles: 90.00 90.00 115.26
Sites, in units of the cell vectors:
Cr: 0.500 0.500 0.750
Os: 0.000 0.000 0.997
Os: 0.000 0.000 0.503
Al: 0.500 0.500 0.250

The formation enthalpy at 0 K is 142.9 meV per atom. Its total moment is 0.727 μB per cell. As for the symmetry: Cmmm, No. 65. Its theoretical density is 13.72 g/cm3. Its total DFT energy (no corrections) is -8.8135 eV/atom.

[2]
# Al2CrOs

An optimized crystal structure of Al2CrOs (PBE, Alexandria via LeMat-Bulk).

abc: 2.695 2.695 8.561
angles: 90.00 90.00 113.57
Sites, in units of the cell vectors:
Cr: 0.000 0.000 0.505
Os: 0.500 0.500 0.740
Al: 0.000 0.000 0.990
Al: 0.500 0.500 0.265

The value obtained for the energy above the lowest structure with this stoichiometry is 473 meV per atom. The formation enthalpy at 0 K is 140.6 meV per atom. Its total moment is 0.000 μB per cell. As for the symmetry: Cmm2, No. 35. Its theoretical density is 8.63 g/cm3. Its total DFT energy (no corrections) is -6.9439 eV/atom.

[3]
# AlCrOs2

An optimized crystal structure of AlCrOs2 (PBE, Alexandria via LeMat-Bulk).

abc: 2.781 4.775 5.294
angles: 52.41 90.00 90.00
Sites, in units of the cell vectors:
Cr: 0.000 0.000 0.500
Os: 0.000 0.000 0.000
Os: 0.500 0.500 0.000
Al: 0.500 0.500 0.500

The formation enthalpy at 0 K is 19.2 meV per atom. Its total moment is 1.477 μB per cell. As for the symmetry: P2/m, No. 10. Its theoretical density is 13.69 g/cm3. Its total DFT energy (no corrections) is -8.9371 eV/atom.

[4]
# AlCrOs2

An optimized crystal structure of AlCrOs2 (PBE, Alexandria via LeMat-Bulk).

abc: 3.916 2.751 5.693
angles: 63.40 90.00 90.00
Sites, in units of the cell vectors:
Cr: 0.500 0.772 0.749
Os: 0.000 0.988 0.981
Os: 0.500 0.222 0.275
Al: 0.000 0.519 0.494

The formation enthalpy at 0 K is -44.7 meV per atom. Its total moment is 0.000 μB per cell. As for the symmetry: Pm, No. 6. Its theoretical density is 13.91 g/cm3. Its total DFT energy (no corrections) is -9.0011 eV/atom.

[5]
# AlCrOs

An optimized crystal structure of AlCrOs (PBE, Alexandria via LeMat-Bulk).

abc: 4.026 4.026 4.026
angles: 60.00 60.00 60.00
Sites, in units of the cell vectors:
Cr: 0.750 0.750 0.750
Os: 0.000 0.000 0.000
Al: 0.500 0.500 0.500

The value obtained for the energy above the lowest structure with this stoichiometry is 454 meV per atom. The formation enthalpy at 0 K is 194.4 meV per atom. Its total moment is 0.384 μB per cell. As for the symmetry: F-43m, No. 216. Its theoretical density is 9.68 g/cm3. Its total DFT energy (no corrections) is -8.0042 eV/atom.

[6]
# AlCrOs4

An optimized crystal structure of AlCrOs4 (PBE, Alexandria via LeMat-Bulk).

abc: 5.123 5.123 5.123
angles: 60.00 60.00 60.00
Sites, in units of the cell vectors:
Al: 0.750 0.750 0.750
Cr: 0.000 0.000 0.000
Os: 0.876 0.375 0.375
Os: 0.375 0.375 0.876
Os: 0.375 0.876 0.375
Os: 0.375 0.375 0.375

The formation enthalpy at 0 K is 542.0 meV per atom. Its total moment is 1.781 μB per cell. As for the symmetry: F-43m, No. 216. Its theoretical density is 14.67 g/cm3. Its total DFT energy (no corrections) is -9.1722 eV/atom.

[7]
# Al2CrOs

An optimized crystal structure of Al2CrOs (PBE, Alexandria via LeMat-Bulk).

abc: 2.707 2.707 8.274
angles: 90.00 90.00 114.02
Sites, in units of the cell vectors:
Cr: 0.500 0.500 0.250
Os: 0.500 0.500 0.750
Al: 0.000 0.000 0.004
Al: 0.000 0.000 0.496

The value obtained for the energy above the lowest structure with this stoichiometry is 320 meV per atom. The formation enthalpy at 0 K is -11.8 meV per atom. Its total moment is 0.003 μB per cell. As for the symmetry: Cmmm, No. 65. Its theoretical density is 8.88 g/cm3. Its total DFT energy (no corrections) is -7.0964 eV/atom.

[8]
# Al2CrOs

An optimized crystal structure of Al2CrOs (PBE, Alexandria via LeMat-Bulk).

abc: 6.899 6.899 5.550
angles: 51.57 51.57 90.00
Sites, in units of the cell vectors:
Cr: 0.500 0.500 0.000
Cr: 0.250 0.750 0.500
Os: 0.000 0.000 0.000
Os: 0.750 0.250 0.500
Al: 0.635 0.125 0.250
Al: 0.115 0.625 0.250
Al: 0.375 0.365 0.750
Al: 0.875 0.885 0.750

The value obtained for the energy above the lowest structure with this stoichiometry is 817 meV per atom. The formation enthalpy at 0 K is 485.3 meV per atom. Its total moment is 6.073 μB per cell. As for the symmetry: I-42d, No. 122. Its theoretical density is 7.81 g/cm3. Its total DFT energy (no corrections) is -6.5992 eV/atom.

[9]
# Al2CrOs

An optimized crystal structure of Al2CrOs (PBE, Alexandria via LeMat-Bulk).

abc: 4.284 4.284 4.284
angles: 60.00 60.00 60.00
Sites, in units of the cell vectors:
Cr: 0.000 0.000 0.000
Os: 0.500 0.500 0.500
Al: 0.250 0.250 0.250
Al: 0.750 0.750 0.750

The value obtained for the energy above the lowest structure with this stoichiometry is 0 meV per atom. The formation enthalpy at 0 K is -332.0 meV per atom. Its total moment is 3.169 μB per cell. As for the symmetry: Fm-3m, No. 225. Its theoretical density is 8.84 g/cm3. Its total DFT energy (no corrections) is -7.4165 eV/atom.

[10]
# Al2CrOs

An optimized crystal structure of Al2CrOs (PBE, Alexandria via LeMat-Bulk).

abc: 4.611 4.611 4.611
angles: 130.49 130.49 72.63
Sites, in units of the cell vectors:
Cr: 0.500 0.500 0.000
Os: 0.750 0.250 0.500
Al: 0.000 0.000 0.000
Al: 0.250 0.750 0.500

The value obtained for the energy above the lowest structure with this stoichiometry is 185 meV per atom. The formation enthalpy at 0 K is -147.3 meV per atom. Its total moment is 1.603 μB per cell. As for the symmetry: I-4m2, No. 119. Its theoretical density is 8.87 g/cm3. Its total DFT energy (no corrections) is -7.2318 eV/atom.

[11]
# AlCrOs2

An optimized crystal structure of AlCrOs2 (PBE, Alexandria via LeMat-Bulk).

abc: 4.547 4.547 4.728
angles: 78.43 78.43 35.63
Sites, in units of the cell vectors:
Cr: 0.250 0.250 0.250
Os: 0.993 0.993 0.004
Os: 0.507 0.507 0.496
Al: 0.750 0.750 0.750

The formation enthalpy at 0 K is -32.7 meV per atom. Its total moment is 1.420 μB per cell. As for the symmetry: C2/m, No. 12. Its theoretical density is 13.70 g/cm3. Its total DFT energy (no corrections) is -8.9890 eV/atom.

[12]
# AlCrOs

An optimized crystal structure of AlCrOs (PBE, Alexandria via LeMat-Bulk).

abc: 5.084 5.084 5.084
angles: 146.67 146.67 47.86
Sites, in units of the cell vectors:
Cr: 0.330 0.330 0.000
Os: 0.673 0.673 0.000
Al: 0.997 0.997 0.000

The value obtained for the energy above the lowest structure with this stoichiometry is 0 meV per atom. The formation enthalpy at 0 K is -259.4 meV per atom. Its total moment is 0.000 μB per cell. As for the symmetry: I4mm, No. 107. Its theoretical density is 11.31 g/cm3. Its total DFT energy (no corrections) is -8.4580 eV/atom.